1.
The following is a PBE calculation of SrAcC4 after structural relaxation, from Alexandria via LeMat-Bulk.

Summary:
E_form ... -0.096 eV per formula unit
N(E_F) ... 0.244 states/eV/atom
Total DFT energy (no corrections) ... -7.13 eV per atom
Theoretical density ... 5.3 g/cm3

```
data_SrAcC4
_chemical_formula_sum 'Sr2 Ac2 C8'
_symmetry_space_group_name_H-M 'C 1 2/m 1'
_symmetry_Int_Tables_number 12
_symmetry_space_group_name_Hall '-C 2y'
_cell_length_a 7.929
_cell_length_b 4.109
_cell_length_c 7.938
_cell_angle_alpha 90.00
_cell_angle_beta 117.85
_cell_angle_gamma 90.00
loop_
_atom_site_label
_atom_site_fract_x
_atom_site_fract_y
_atom_site_fract_z
Sr1 0.000 0.000 0.000
Ac1 0.000 0.500 0.500
C1 0.197 0.000 0.794
C2 0.208 0.500 0.300
```

---

2.
The following is a PBE calculation of CaMnSeBr2 after structural relaxation, from Alexandria via LeMat-Bulk.

Summary:
N(E_F) ... 0.132 states/eV/atom
Total DFT energy (no corrections) ... -4.49 eV per atom
Excess energy over the best structure of this formula in the dataset ... 0.000 eV per atom
E_form (uncorrected) ... -4.44 eV per formula unit
Theoretical density ... 4.0 g/cm3

```
data_CaMnSeBr2
_chemical_formula_sum 'Ca1 Mn1 Se1 Br2'
_symmetry_space_group_name_H-M 'P 4/m m m'
_symmetry_Int_Tables_number 123
_symmetry_space_group_name_Hall '-P 4 2'
_cell_length_a 5.137
_cell_length_b 5.137
_cell_length_c 5.250
_cell_angle_alpha 90.00
_cell_angle_beta 90.00
_cell_angle_gamma 90.00
loop_
_atom_site_label
_atom_site_fract_x
_atom_site_fract_y
_atom_site_fract_z
Ca1 0.000 0.000 0.000
Mn1 0.500 0.500 0.500
Se1 0.500 0.500 0.000
Br1 0.000 0.500 0.500
```

---

3.
The following is a PBE calculation of KNi2AgCl8 after structural relaxation, from Alexandria via LeMat-Bulk.

Summary:
N(E_F) ... 0.098 states/eV/atom
Total DFT energy (no corrections) ... -3.20 eV per atom
E_form (uncorrected) ... -8.09 eV per formula unit
Theoretical density ... 2.8 g/cm3

```
data_KNi2AgCl8
_chemical_formula_sum 'K3 Ni6 Ag3 Cl24'
_symmetry_space_group_name_H-M 'R -3'
_symmetry_Int_Tables_number 148
_symmetry_space_group_name_Hall '-R 3'
_cell_length_a 6.3798
_cell_length_b 6.3798
_cell_length_c 27.7914
_cell_angle_alpha 90.00
_cell_angle_beta 90.00
_cell_angle_gamma 120.00
loop_
_atom_site_label
_atom_site_fract_x
_atom_site_fract_y
_atom_site_fract_z
K1 0.0000 0.0000 0.0000
Ni1 0.0000 0.0000 0.2484
Ag1 0.0000 0.0000 0.5000
Cl1 0.0000 0.0000 0.3264
Cl2 0.0050 0.6617 0.4417
```

---

4.
The following is a PBE calculation of Li4SnSb2 after structural relaxation, from Alexandria via LeMat-Bulk.

Summary:
Total DFT energy (no corrections) ... -3.29 eV per atom
Excess energy over the best structure of this formula in the dataset ... 0.000 eV per atom
E_form (uncorrected) ... -3.14 eV per formula unit
Theoretical density ... 4.2 g/cm3

```
data_Li4SnSb2
_chemical_formula_sum 'Li12 Sn3 Sb6'
_symmetry_space_group_name_H-M 'R -3 m'
_symmetry_Int_Tables_number 166
_symmetry_space_group_name_Hall '-R 3 2"'
_cell_length_a 4.7953
_cell_length_b 4.7953
_cell_length_c 23.4817
_cell_angle_alpha 90.00
_cell_angle_beta 90.00
_cell_angle_gamma 120.00
loop_
_atom_site_label
_atom_site_fract_x
_atom_site_fract_y
_atom_site_fract_z
Li1 0.0000 0.0000 0.1135
Li2 0.0000 0.0000 0.3699
Sn1 0.0000 0.0000 0.5000
Sb1 0.0000 0.0000 0.2491
```

---

Copy entry 3 word for word.
The following is a PBE calculation of KNi2AgCl8 after structural relaxation, from Alexandria via LeMat-Bulk.

Summary:
N(E_F) ... 0.098 states/eV/atom
Total DFT energy (no corrections) ... -3.20 eV per atom
E_form (uncorrected) ... -8.09 eV per formula unit
Theoretical density ... 2.8 g/cm3

```
data_KNi2AgCl8
_chemical_formula_sum 'K3 Ni6 Ag3 Cl24'
_symmetry_space_group_name_H-M 'R -3'
_symmetry_Int_Tables_number 148
_symmetry_space_group_name_Hall '-R 3'
_cell_length_a 6.3798
_cell_length_b 6.3798
_cell_length_c 27.7914
_cell_angle_alpha 90.00
_cell_angle_beta 90.00
_cell_angle_gamma 120.00
loop_
_atom_site_label
_atom_site_fract_x
_atom_site_fract_y
_atom_site_fract_z
K1 0.0000 0.0000 0.0000
Ni1 0.0000 0.0000 0.2484
Ag1 0.0000 0.0000 0.5000
Cl1 0.0000 0.0000 0.3264
Cl2 0.0050 0.6617 0.4417
```

---

Question: Look up the theoretical density of the first one.
Answer: 5.3 g/cm3